This record from Alexandria via LeMat-Bulk describes a relaxed structure of Er2ScMoO8. The functional is PBE+U.

V	13.60	Å³/atom
density of states at the Fermi level	0.66	states/eV/atom
total moment	0.075	μB per atom
raw total energy	-94.2	eV/f.u.

```
Er2ScMoO8
1.0
3.4708 -3.5652 0.0000
3.4708 3.5652 0.0000
0.0000 0.0000 6.5936
Er Sc Mo O
2 1 1 8
Direct
0.0000 0.0000 0.2460
0.0000 0.0000 0.7540
0.5000 0.5000 0.0000
0.5000 0.5000 0.5000
0.2064 0.2064 0.0000
0.2216 0.2216 0.5000
0.3180 0.6820 0.2774
0.3180 0.6820 0.7226
0.6820 0.3180 0.2774
0.6820 0.3180 0.7226
0.7784 0.7784 0.5000
0.7936 0.7936 0.0000
```

***

This record from Alexandria via LeMat-Bulk describes a relaxed structure of Sr2ErMoO6. The functional is PBE+U.

V	14.22	Å³/atom
total moment	0.100	μB per atom
raw total energy	-72.3	eV/f.u.

```
Sr2ErMoO6
1.0
5.8058 0.0000 0.0000
0.0000 5.8816 0.0000
-5.7392 0.0000 8.3298
Sr Er Mo O
4 2 2 12
Direct
0.2438 0.0367 0.2481
0.2438 0.4633 0.7481
0.7562 0.5367 0.2519
0.7562 0.9633 0.7519
0.5000 0.0000 0.0000
0.5000 0.5000 0.5000
0.0000 0.0000 0.5000
0.0000 0.5000 0.0000
0.1557 0.2181 0.9590
0.1557 0.2819 0.4590
0.2364 0.6917 0.9646
0.2364 0.8083 0.4646
0.3130 0.0223 0.7388
0.3130 0.4777 0.2388
0.6870 0.5223 0.7612
0.6870 0.9777 0.2612
0.7636 0.1917 0.5354
0.7636 0.3083 0.0354
0.8443 0.7181 0.5410
0.8443 0.7819 0.0410
```

***

This record from Alexandria via LeMat-Bulk describes a relaxed structure of ErTaMoO6. The functional is PBE+U.

V	12.60	Å³/atom
total moment	0.222	μB per atom
raw total energy	-76.6	eV/f.u.

```
ErTaMoO6
1.0
5.4016 0.0000 0.0000
-2.7008 4.6779 0.0000
0.0000 0.0000 8.9740
Er Ta Mo O
2 2 2 12
Direct
0.3333 0.6667 0.2500
0.6667 0.3333 0.7500
0.3333 0.6667 0.7500
0.6667 0.3333 0.2500
0.0000 0.0000 0.0000
0.0000 0.0000 0.5000
0.0359 0.3432 0.6279
0.0359 0.6927 0.8721
0.3073 0.3432 0.8721
0.3073 0.9641 0.6279
0.3432 0.0359 0.1279
0.3432 0.3073 0.3721
0.6568 0.6927 0.6279
0.6568 0.9641 0.8721
0.6927 0.0359 0.3721
0.6927 0.6568 0.1279
0.9641 0.3073 0.1279
0.9641 0.6568 0.3721
```

***

This record from Alexandria via LeMat-Bulk describes a relaxed structure of TbErMoO6. The functional is PBE+U.

V	13.79	Å³/atom
density of states at the Fermi level	0.00	states/eV/atom
total moment	0.000	μB per atom
raw total energy	-70.1	eV/f.u.

```
TbErMoO6
1.0
5.4992 0.0000 0.0000
-2.7496 4.7625 0.0000
0.0000 0.0000 4.7379
Tb Er Mo O
1 1 1 6
Direct
0.0000 0.0000 0.0000
0.6667 0.3333 0.5000
0.3333 0.6667 0.0000
0.0328 0.3758 0.2300
0.0328 0.6570 0.7700
0.3430 0.3758 0.7700
0.3430 0.9672 0.2300
0.6242 0.6570 0.2300
0.6242 0.9672 0.7700
```

***

This record from Alexandria via LeMat-Bulk describes a relaxed structure of TbEr2MoO8. The functional is PBE+U.

V	14.26	Å³/atom
density of states at the Fermi level	0.59	states/eV/atom
total moment	0.061	μB per atom
raw total energy	-92.9	eV/f.u.

```
TbEr2MoO8
1.0
3.5315 -3.5709 0.0000
3.5315 3.5709 0.0000
0.0000 0.0000 6.7860
Tb Er Mo O
1 2 1 8
Direct
0.0000 0.0000 0.0000
0.5000 0.5000 0.2519
0.5000 0.5000 0.7481
0.0000 0.0000 0.5000
0.1846 0.8154 0.2885
0.1846 0.8154 0.7115
0.2770 0.2770 0.5000
0.3105 0.3105 0.0000
0.6895 0.6895 0.0000
0.7230 0.7230 0.5000
0.8154 0.1846 0.2885
0.8154 0.1846 0.7115
```

***

This record from Alexandria via LeMat-Bulk describes a relaxed structure of Tb2ErMoO8. The functional is PBE+U.

V	14.54	Å³/atom
density of states at the Fermi level	0.63	states/eV/atom
total moment	0.079	μB per atom
raw total energy	-92.6	eV/f.u.

```
Tb2ErMoO8
1.0
3.5609 -3.6131 0.0000
3.5609 3.6131 0.0000
0.0000 0.0000 6.7819
Tb Er Mo O
2 1 1 8
Direct
0.0000 0.0000 0.2494
0.0000 0.0000 0.7506
0.5000 0.5000 0.0000
0.5000 0.5000 0.5000
0.1957 0.1957 0.0000
0.2271 0.2271 0.5000
0.3185 0.6815 0.2860
0.3185 0.6815 0.7140
0.6815 0.3185 0.2860
0.6815 0.3185 0.7140
0.7729 0.7729 0.5000
0.8043 0.8043 0.0000
```